# 1
Crystalline TbTm4Ni2 at its relaxed geometry. Source: the Alexandria database, functional PBE.

**SG**: P2_1/m, No. 11
**Energy above the lowest structure with this stoichiometry**: 0.0000 eV per atom
**VASP energy**: -5.05 eV per atom
**Total magnetization**: 0.000 μB per atom

Lattice parameters (Å, degrees): 7.4866 6.3007 7.7809 90.00 112.37 90.00
Atoms (fractional coordinates):
Tb (0.1503, 0.2500, 0.0242)
Tb (0.8497, 0.7500, 0.9758)
Tm (0.0257, 0.2500, 0.3882)
Tm (0.2538, 0.7500, 0.3449)
Tm (0.4084, 0.0035, 0.7667)
Tm (0.4084, 0.4965, 0.7667)
Tm (0.5916, 0.5035, 0.2333)
Tm (0.5916, 0.9965, 0.2333)
Tm (0.7462, 0.2500, 0.6551)
Tm (0.9743, 0.7500, 0.6118)
Ni (0.2591, 0.7500, 0.9931)
Ni (0.3820, 0.2500, 0.4159)
Ni (0.6180, 0.7500, 0.5841)
Ni (0.7409, 0.2500, 0.0069)

=====

# 2
Crystalline Tc2IrBr at its relaxed geometry. Source: the Alexandria database, functional PBE.

**SG**: Cmmm, No. 65
**Energy above the lowest structure with this stoichiometry**: 0.3675 eV per atom
**VASP energy**: -6.97 eV per atom
**Total magnetization**: 0.204 μB per atom
**E_form (uncorrected)**: 851 meV per atom

Lattice parameters (Å, degrees): 2.8211 2.8211 9.4758 90.00 90.00 120.33
Atoms (fractional coordinates):
Tc (0.0000, 0.0000, 0.2387)
Tc (0.0000, 0.0000, 0.7613)
Ir (0.5000, 0.5000, 0.0000)
Br (0.5000, 0.5000, 0.5000)

=====

# 3
Crystalline Tl2CdBr at its relaxed geometry. Source: the Alexandria database, functional PBE.

**SG**: Cmm2, No. 35
**Energy above the lowest structure with this stoichiometry**: 0.0749 eV per atom
**VASP energy**: -2.05 eV per atom
**Total magnetization**: 0.000 μB per atom
**E_form (uncorrected)**: -220 meV per atom

Lattice parameters (Å, degrees): 3.6995 3.6995 9.2990 90.00 90.00 106.70
Atoms (fractional coordinates):
Tl (0.0000, 0.0000, 0.0000)
Tl (0.5000, 0.5000, 0.2857)
Cd (0.5000, 0.5000, 0.7634)
Br (0.0000, 0.0000, 0.5505)

=====

# 4
Crystalline ZrIn3Ga at its relaxed geometry. Source: the Alexandria database, functional PBE.

**SG**: Pm-3m, No. 221
**Energy above the lowest structure with this stoichiometry**: 0.0414 eV per atom
**VASP energy**: -3.34 eV per atom
**Total magnetization**: 0.000 μB per atom

Lattice parameters (Å, degrees): 5.1543 5.1543 5.1543 90.00 90.00 90.00
Atoms (fractional coordinates):
Zr (0.0000, 0.0000, 0.0000)
In (0.0000, 0.5000, 0.5000)
In (0.5000, 0.0000, 0.5000)
In (0.5000, 0.5000, 0.0000)
Ga (0.5000, 0.5000, 0.5000)

=====

# 5
Crystalline Tm2Be3AlPt4 at its relaxed geometry. Source: the Alexandria database, functional PBE.

**SG**: P-4m2, No. 115
**VASP energy**: -5.79 eV per atom
**Total magnetization**: 0.000 μB per atom

Lattice parameters (Å, degrees): 4.0091 4.0091 9.8653 90.00 90.00 90.00
Atoms (fractional coordinates):
Tm (0.0000, 0.5000, 0.2394)
Tm (0.5000, 0.0000, 0.7606)
Be (0.0000, 0.5000, 0.8802)
Be (0.5000, 0.0000, 0.1198)
Be (0.5000, 0.5000, 0.5000)
Al (0.0000, 0.0000, 0.5000)
Pt (0.0000, 0.0000, 0.0000)
Pt (0.0000, 0.5000, 0.6462)
Pt (0.5000, 0.0000, 0.3538)
Pt (0.5000, 0.5000, 0.0000)

=====

# 6
Crystalline BaTc2Ge2P at its relaxed geometry. Source: the Alexandria database, functional PBE.

**SG**: P4/mmm, No. 123
**VASP energy**: -6.52 eV per atom
**Total magnetization**: 0.000 μB per atom

Lattice parameters (Å, degrees): 4.4982 4.4982 6.2354 90.00 90.00 90.00
Atoms (fractional coordinates):
Ba (0.0000, 0.0000, 0.0000)
Tc (0.0000, 0.5000, 0.5000)
Tc (0.5000, 0.0000, 0.5000)
Ge (0.5000, 0.5000, 0.2558)
Ge (0.5000, 0.5000, 0.7442)
P (0.0000, 0.0000, 0.5000)

=====

# 7
Crystalline Mn2GeN at its relaxed geometry. Source: the Alexandria database, functional PBE.

**SG**: Pmm2, No. 25
**VASP energy**: -7.89 eV per atom
**Total magnetization**: 0.023 μB per atom
**E_form (uncorrected)**: -71 meV per atom

Lattice parameters (Å, degrees): 2.8623 3.7717 4.7131 90.00 90.00 90.00
Atoms (fractional coordinates):
Mn (0.0000, 0.0000, 0.0000)
Mn (0.5000, 0.5000, 0.2142)
Ge (0.5000, 0.0000, 0.5383)
N (0.0000, 0.5000, 0.9791)

=====

# 8
Crystalline TlInW2 at its relaxed geometry. Source: the Alexandria database, functional PBE.

**SG**: Imm2, No. 44
**Energy above the lowest structure with this stoichiometry**: 0.2999 eV per atom
**VASP energy**: -6.92 eV per atom
**Total magnetization**: 0.000 μB per atom

Lattice parameters (Å, degrees): 5.6988 5.6988 5.6988 145.81 129.45 62.45
Atoms (fractional coordinates):
Tl (0.0000, 0.0000, 0.0000)
In (0.7240, 0.2240, 0.5000)
W (0.2640, 0.7640, 0.5000)
W (0.4597, 0.4597, 0.0000)

=====

# 9
Crystalline Ag2TePF at its relaxed geometry. Source: the Alexandria database, functional PBE.

**SG**: P4/mmm, No. 123
**VASP energy**: -2.96 eV per atom
**Total magnetization**: 0.000 μB per atom
**E_form (uncorrected)**: 261 meV per atom

Lattice parameters (Å, degrees): 5.3321 5.3321 4.1899 90.00 90.00 90.00
Atoms (fractional coordinates):
Ag (0.0000, 0.5000, 0.0000)
Ag (0.5000, 0.0000, 0.0000)
Te (0.0000, 0.0000, 0.0000)
P (0.5000, 0.5000, 0.5000)
F (0.0000, 0.0000, 0.5000)

=====

# 10
Crystalline BaMgMo at its relaxed geometry. Source: the Alexandria database, functional PBE.

**SG**: I4mm, No. 107
**Energy above the lowest structure with this stoichiometry**: 0.0000 eV per atom
**VASP energy**: -3.95 eV per atom
**Total magnetization**: 0.000 μB per atom

Lattice parameters (Å, degrees): 8.2343 8.2343 8.2343 158.43 158.43 30.70
Atoms (fractional coordinates):
Ba (0.0000, 0.0000, 0.0000)
Mg (0.7021, 0.7021, 0.0000)
Mo (0.3261, 0.3261, 0.0000)

=====

# 11
Crystalline K6PtPb at its relaxed geometry. Source: the Alexandria database, functional PBE.

**SG**: Amm2, No. 38
**VASP energy**: -2.12 eV per atom
**Total magnetization**: 0.000 μB per atom

Lattice parameters (Å, degrees): 4.6249 9.7593 9.7593 85.88 90.00 90.00
Atoms (fractional coordinates):
K (0.0000, 0.0000, 0.0000)
K (0.0000, 0.5582, 0.8516)
K (0.0000, 0.8516, 0.5582)
K (0.5000, 0.2507, 0.6896)
K (0.5000, 0.2705, 0.2705)
K (0.5000, 0.6896, 0.2507)
Pt (0.5000, 0.5787, 0.5787)
Pb (0.0000, 0.4806, 0.4806)

=====

# 12
Crystalline CeMn2Si2 at its relaxed geometry. Source: the Alexandria database, functional PBE.

**SG**: I4/mmm, No. 139
**VASP energy**: -7.60 eV per atom
**Total magnetization**: 0.773 μB per atom
**E_form (uncorrected)**: -577 meV per atom

Lattice parameters (Å, degrees): 5.8794 5.8794 5.8794 140.88 140.88 56.53
Atoms (fractional coordinates):
Ce (0.0000, 0.0000, 0.0000)
Mn (0.2500, 0.7500, 0.5000)
Mn (0.7500, 0.2500, 0.5000)
Si (0.3785, 0.3785, 0.0000)
Si (0.6215, 0.6215, 0.0000)

=====

# 13
Crystalline CrPbSCl2 at its relaxed geometry. Source: the Alexandria database, functional PBE.

**SG**: P4/mmm, No. 123
**Energy above the lowest structure with this stoichiometry**: 0.0000 eV per atom
**VASP energy**: -4.84 eV per atom
**Total magnetization**: 0.790 μB per atom
**E_form (uncorrected)**: -606 meV per atom

Lattice parameters (Å, degrees): 4.7204 4.7204 4.9016 90.00 90.00 90.00
Atoms (fractional coordinates):
Cr (0.0000, 0.0000, 0.0000)
Pb (0.5000, 0.5000, 0.5000)
S (0.0000, 0.0000, 0.5000)
Cl (0.0000, 0.5000, 0.0000)
Cl (0.5000, 0.0000, 0.0000)

=====

# 14
Crystalline Li3La4 at its relaxed geometry. Source: the Alexandria database, functional PBE.

**SG**: P6/mmm, No. 191
**VASP energy**: -3.57 eV per atom
**Total magnetization**: 0.000 μB per atom

Lattice parameters (Å, degrees): 5.9842 5.9842 6.9019 90.00 90.00 120.00
Atoms (fractional coordinates):
Li (0.0000, 0.5000, 0.0000)
Li (0.5000, 0.0000, 0.0000)
Li (0.5000, 0.5000, 0.0000)
La (0.0000, 0.0000, 0.2679)
La (0.0000, 0.0000, 0.7321)
La (0.3333, 0.6667, 0.5000)
La (0.6667, 0.3333, 0.5000)

=====

# 15
Crystalline MnTl2Hg at its relaxed geometry. Source: the Alexandria database, functional PBE.

**SG**: Pm, No. 6
**Energy above the lowest structure with this stoichiometry**: 0.0549 eV per atom
**VASP energy**: -3.23 eV per atom
**Total magnetization**: 0.993 μB per atom

Lattice parameters (Å, degrees): 3.6130 4.6681 6.1232 90.00 106.27 90.00
Atoms (fractional coordinates):
Mn (0.0000, 0.0000, 0.0000)
Tl (0.2574, 0.0000, 0.5037)
Tl (0.5783, 0.5000, 0.1625)
Hg (0.8600, 0.5000, 0.7131)

=====

# 16
Crystalline PrMg9Ni3 at its relaxed geometry. Source: the Alexandria database, functional PBE.

**SG**: C2/m, No. 12
**VASP energy**: -2.92 eV per atom
**Total magnetization**: 0.000 μB per atom

Lattice parameters (Å, degrees): 7.5395 7.5395 7.0344 97.13 97.13 137.62
Atoms (fractional coordinates):
Pr (0.0000, 0.0000, 0.0000)
Mg (0.0000, 0.0000, 0.5000)
Mg (0.0304, 0.6704, 0.6775)
Mg (0.2998, 0.5267, 0.7849)
Mg (0.3296, 0.9696, 0.3225)
Mg (0.4733, 0.7002, 0.2151)
Mg (0.5267, 0.2998, 0.7849)
Mg (0.6704, 0.0304, 0.6775)
Mg (0.7002, 0.4733, 0.2151)
Mg (0.9696, 0.3296, 0.3225)
Ni (0.0000, 0.5000, 0.0000)
Ni (0.5000, 0.0000, 0.0000)
Ni (0.5000, 0.5000, 0.5000)

=====

# 17
Crystalline AcDyPO6 at its relaxed geometry. Source: the Alexandria database, functional PBE.

**SG**: P312, No. 149
**VASP energy**: -7.46 eV per atom
**Total magnetization**: 0.115 μB per atom
**E_form (uncorrected)**: -2585 meV per atom

Lattice parameters (Å, degrees): 5.3794 5.3794 5.1205 90.00 90.00 120.00
Atoms (fractional coordinates):
Ac (0.0000, 0.0000, 0.0000)
Dy (0.3333, 0.6667, 0.5000)
P (0.6667, 0.3333, 0.5000)
O (0.4045, 0.0705, 0.6959)
O (0.4045, 0.3340, 0.3041)
O (0.6660, 0.0705, 0.3041)
O (0.6660, 0.5955, 0.6959)
O (0.9295, 0.3340, 0.6959)
O (0.9295, 0.5955, 0.3041)